Density functional theory data (PBE) for an optimized crystal structure of CuTcI2N.

extended XYZ file:
```
5
Lattice="-0.8346 5.4092 1.4036 -2.7504 -1.6330 4.6578 3.1595 0.0031 1.8667" Properties=species:S:1:pos:R:3 pbc="T T T"
I -1.3752 -0.8165 2.3289
I -0.4173 2.7046 0.7018
Tc -0.2128 1.8897 3.9641
Cu 0.0000 0.0000 0.0000
N 1.5797 0.0016 0.9334
```

Output
Space-group type: P4/mmm
Raw formation energy: 1.2718 eV per atom



Density functional theory data (PBE) for an optimized crystal structure of SrCuBi2.

extended XYZ file:
```
4
Lattice="0.0000 3.8454 3.8454 3.8454 0.0000 3.8454 3.8454 3.8454 0.0000" Properties=species:S:1:pos:R:3 pbc="T T T"
Sr 3.8454 3.8454 3.8454
Bi 1.9227 1.9227 1.9227
Bi 5.7681 5.7681 5.7681
Cu 0.0000 0.0000 0.0000
```

Output
Space-group type: Fm-3m
ΔE_f: -0.024 eV per atom



Density functional theory data (PBE) for an optimized crystal structure of Cs4Rb3AgF8.

extended XYZ file:
```
16
Lattice="-7.8454 -0.5106 -2.1276 -1.5229 -4.4768 6.6898 3.5279 7.5069 0.7795" Properties=species:S:1:pos:R:3 pbc="T T T"
Cs -3.9227 -0.2553 -1.0638
Cs -2.1587 3.4982 -0.6740
Cs 0.0000 0.0000 0.0000
Cs 1.7639 3.7535 0.3897
Rb -4.6841 -2.4937 2.2811
Rb -2.9202 1.2598 2.6709
Rb 1.0025 1.5151 3.7346
Ag -0.7614 -2.2384 3.3449
F 0.6595 4.1349 5.0704
F -1.3509 0.4443 4.8749
F -0.6073 2.5095 1.6374
F -3.6153 3.8567 3.9112
F -2.2251 -1.3370 1.4306
F -5.2330 0.0101 3.7043
F -4.4894 2.0753 0.4668
F -6.4999 -1.6152 0.2713
```

Output
Space-group type: C2/m
Raw formation energy: -2.4160 eV per atom



Density functional theory data (PBE) for an optimized crystal structure of CdAgI.

extended XYZ file:
```
12
Lattice="8.4317 0.0000 -0.0104 0.0000 4.1898 0.0000 -7.3737 0.0000 11.0292" Properties=species:S:1:pos:R:3 pbc="T T T"
I 3.9530 0.0000 4.0899
I 0.2661 2.0949 9.6045
I 0.1070 0.0000 5.9348
I 3.7938 2.0949 0.4202
Ag -4.0142 0.0000 6.9222
Ag -0.3273 2.0949 1.4076
Ag 2.0438 0.0000 8.5780
Ag 5.7307 2.0949 3.0634
Cd -0.8041 0.0000 3.1431
Cd -4.4909 2.0949 8.6577
Cd 1.7335 0.0000 1.4777
Cd -1.9533 2.0949 6.9923
```

Output
Space-group type: Cm
Raw formation energy: -0.1197 eV per atom



Density functional theory data (PBE) for an optimized crystal structure of InSiSN2.

extended XYZ file:
```
5
Lattice="3.5689 0.0000 0.0000 0.0000 3.5689 0.0000 0.0000 0.0000 5.5443" Properties=species:S:1:pos:R:3 pbc="T T T"
S 0.0000 0.0000 2.7721
N 0.0000 1.7844 0.0000
N 1.7844 0.0000 0.0000
Si 0.0000 0.0000 0.0000
In 1.7844 1.7844 2.7721
```

Output
Space-group type: P4/mmm
Raw formation energy: 0.3530 eV per atom



Density functional theory data (PBE) for an optimized crystal structure of AcLa2CoPb.

extended XYZ file:
```
5
Lattice="5.5387 0.0000 0.0000 0.0000 5.3429 0.0000 0.0000 0.0000 5.3429" Properties=species:S:1:pos:R:3 pbc="T T T"
Ac 2.7694 0.0000 0.0000
La 0.0000 0.0000 2.6714
La 0.0000 2.6714 0.0000
Co 0.0000 0.0000 0.0000
Pb 2.7694 2.6714 2.6714
```

Output
Space-group type: P4/mmm
ΔE_f: -0.353 eV per atom



Density functional theory data (PBE) for an optimized crystal structure of CuRePb.

extended XYZ file:
```
3
Lattice="-0.9478 -0.3777 -5.3389 -2.1270 -4.1931 -2.7274 -0.4350 3.6275 4.0245" Properties=species:S:1:pos:R:3 pbc="T T T"
Cu -2.9903 -4.4451 -7.8446
Pb -2.0474 -3.0435 -5.3711
Re -1.1119 -1.6529 -2.9170
```

Output
Space-group type: Imm2
ΔE_f: 0.888 eV per atom



Density functional theory data (PBE) for an optimized crystal structure of Nd2EuGe.

extended XYZ file:
```
4
Lattice="4.2002 0.0000 0.0000 2.1001 3.6375 0.0000 2.1001 1.2125 9.7286" Properties=species:S:1:pos:R:3 pbc="T T T"
Eu 4.2002 2.4250 4.8643
Ge 0.0000 0.0000 0.0000
Nd 6.3003 3.6375 8.0734
Nd 2.1001 1.2125 1.6552
```

Output
Space-group type: R-3m
ΔE_f: -0.273 eV per atom



Density functional theory data (PBE) for an optimized crystal structure of CaBeZnHS.

extended XYZ file:
```
10
Lattice="4.6579 0.0000 -0.0020 0.0000 3.4006 0.0000 -4.4685 0.0000 9.7104" Properties=species:S:1:pos:R:3 pbc="T T T"
Ca -1.7926 0.0000 6.8849
Ca 0.4416 1.7003 2.0297
Be -3.8892 0.0000 9.0921
Be -1.6550 1.7003 4.2369
Zn 2.6085 0.0000 0.4145
Zn 0.3742 1.7003 5.2698
H -0.2632 0.0000 0.5922
H -2.4975 1.7003 5.4474
S 2.7211 0.0000 3.0086
S 0.4868 1.7003 7.8638
```

Output
Space-group type: Cm



Density functional theory data (PBE) for an optimized crystal structure of Li2TaBeH.

extended XYZ file:
```
5
Lattice="-2.6644 -0.5635 2.3800 -1.7666 -2.7887 -2.6379 1.9224 -2.6583 1.5228" Properties=species:S:1:pos:R:3 pbc="T T T"
Be -0.8833 -1.3943 -1.3190
Li 0.9612 -1.3291 0.7614
Li -1.3322 -0.2817 1.1900
H 0.0000 0.0000 0.0000
Ta -1.2543 -3.0052 0.6324
```

Output
Space-group type: P4/mmm



Density functional theory data (PBE) for an optimized crystal structure of La5Sm4Dy.

extended XYZ file:
```
10
Lattice="3.7154 0.0000 0.0000 0.0000 3.7154 0.0000 0.0000 0.0000 25.5469" Properties=species:S:1:pos:R:3 pbc="T T T"
La 1.8577 1.8577 2.5048
La 1.8577 1.8577 7.6323
La 1.8577 1.8577 12.7735
La 1.8577 1.8577 17.9146
La 1.8577 1.8577 23.0421
Sm 0.0000 0.0000 5.0608
Sm 0.0000 0.0000 10.2012
Sm 0.0000 0.0000 15.3457
Sm 0.0000 0.0000 20.4861
Dy 0.0000 0.0000 0.0000
```

Output
Space-group type: P4/mmm
ΔE_f: 0.021 eV per atom



Density functional theory data (PBE) for an optimized crystal structure of Y2CrBr.

extended XYZ file:
```
8
Lattice="7.8959 0.0000 0.0000 0.0000 7.8959 0.0000 3.9479 3.9479 3.5215" Properties=species:S:1:pos:R:3 pbc="T T T"
Y 6.0334 1.9740 0.8804
Y 1.8625 5.9219 0.8804
Y 5.9219 5.8104 2.6411
Y 9.8698 9.9813 2.6411
Cr 3.9479 3.9479 0.0000
Cr 3.9479 7.8959 1.7608
Br 0.0000 0.0000 0.0000
Br 7.8959 3.9479 1.7608
```

Output
Space-group type: I-42d
Raw formation energy: 0.1184 eV per atom



Number 1: electronic total energy -0.2871 Ry/atom. Number 2: electronic total energy -0.2506 Ry/atom. Number 3: electronic total energy -0.2885 Ry/atom. Number 4: electronic total energy -0.1390 Ry/atom. Number 5: electronic total energy -0.3995 Ry/atom. Number 6: electronic total energy -0.3902 Ry/atom. Number 7: electronic total energy -0.4309 Ry/atom. Number 8: electronic total energy -0.4689 Ry/atom. Number 9: electronic total energy -0.2479 Ry/atom. Number 10: electronic total energy -0.2937 Ry/atom. Number 11: electronic total energy -0.3521 Ry/atom. Number 12: electronic total energy -0.4364 Ry/atom.